1.
This record from Alexandria via LeMat-Bulk describes a geometry-optimized K2MgAg2Br6 structure. The functional is PBE-GGA.

Unit cell a=13.924 b=7.790 c=7.707 alpha=90.00 beta=120.57 gamma=90.00
Space group C2/m (No. 12)
Asymmetric unit:
K 0.239 0.000 0.186
Mg 0.000 0.000 0.500
Ag 0.067 0.500 0.224
Br 0.061 0.239 0.794
Br 0.216 0.000 0.586

E_form (uncorrected) in eV per atom: -1.1155
E in eV/cell: -63.6
Total magnetization in μB per formula unit: 0.0

***

2.
This record from Alexandria via LeMat-Bulk describes a geometry-optimized TbPmSnRu structure. The functional is PBE-GGA.

Unit cell a=3.788 b=4.634 c=11.546 alpha=90.00 beta=90.00 gamma=90.00
Space group Amm2 (No. 38)
Asymmetric unit:
Tb 0.000 0.000 0.000
Pm 0.500 0.000 0.297
Sn 0.000 0.000 0.701
Ru 0.500 0.000 0.532

Energy of formation in kJ per mole of atoms: -45.3
E in eV/cell: -49.1
Total magnetization in μB per formula unit: 0.0

***

Number 1: density of states at the Fermi level 0.00 states/eV/f.u.. Number 2: density of states at the Fermi level 1.90 states/eV/f.u..